VASP calculation (PBE-GGA) on a relaxed Cs2HfNCl6 crystal.

Geometry as CIF:
```
data_Cs2HfNCl6
_chemical_formula_sum 'Cs4 Hf2 N2 Cl12'
_cell_length_a 7.8030
_cell_length_b 7.8030
_cell_length_c 11.0975
_cell_angle_alpha 90.00
_cell_angle_beta 90.00
_cell_angle_gamma 90.00
_space_group_name_H-M_alt 'I 4/m m m'
_space_group_IT_number 139
_space_group_name_Hall '-I 4 2'
loop_
_atom_site_label
_atom_site_type_symbol
_atom_site_fract_x
_atom_site_fract_y
_atom_site_fract_z
Cs1 Cs 0.0000 0.5000 0.2500
Hf1 Hf 0.0000 0.0000 0.0000
N1 N 0.0000 0.0000 0.5000
Cl1 Cl 0.0000 0.0000 0.2219
Cl2 Cl 0.2231 0.2231 0.0000
```

DOS(E_F) = 0.0 states/eV/f.u.
ΔE_f (raw) = -12.95 eV/f.u.

VASP calculation (PBE-GGA) on a relaxed TbPmSm4S8 crystal.

Geometry as CIF:
```
data_TbPmSm4S8
_chemical_formula_sum 'Tb3 Pm3 Sm12 S24'
_cell_length_a 8.2311
_cell_length_b 8.2311
_cell_length_c 20.0799
_cell_angle_alpha 90.00
_cell_angle_beta 90.00
_cell_angle_gamma 120.00
_space_group_name_H-M_alt 'R 3 m'
_space_group_IT_number 160
_space_group_name_Hall 'R 3 -2"'
loop_
_atom_site_label
_atom_site_type_symbol
_atom_site_fract_x
_atom_site_fract_y
_atom_site_fract_z
Tb1 Tb 0.0000 0.0000 0.0000
Pm1 Pm 0.0000 0.0000 0.3757
Sm1 Sm 0.0000 0.0000 0.6243
Sm2 Sm 0.0004 0.5002 0.5001
S1 S 0.0000 0.0000 0.2424
S2 S 0.0000 0.0000 0.7569
S3 S 0.0253 0.5126 0.7512
S4 S 0.1786 0.3571 0.5825
```

DOS(E_F) = 8.4 states/eV/f.u.
ΔE_f (raw) = -26.91 eV/f.u.

VASP calculation (PBE-GGA) on a relaxed ZrFe3Pb crystal.

Geometry as CIF:
```
data_ZrFe3Pb
_chemical_formula_sum 'Zr1 Fe3 Pb1'
_cell_length_a 4.7897
_cell_length_b 4.7897
_cell_length_c 4.7897
_cell_angle_alpha 90.00
_cell_angle_beta 90.00
_cell_angle_gamma 90.00
_space_group_name_H-M_alt 'P m -3 m'
_space_group_IT_number 221
_space_group_name_Hall '-P 4 2 3'
loop_
_atom_site_label
_atom_site_type_symbol
_atom_site_fract_x
_atom_site_fract_y
_atom_site_fract_z
Zr1 Zr 0.0000 0.0000 0.0000
Fe1 Fe 0.0000 0.5000 0.5000
Pb1 Pb 0.5000 0.5000 0.5000
```

DOS(E_F) = 8.8 states/eV/f.u.
offset from the most stable computed form = 0.1000 eV/atom
E_form = 1.4304 eV/atom

Respective calculated total energy values: -4.40, -6.30, -6.10 eV/atom.
Respective density values: 3.30, 4.91, 7.04 g/cm3.